Record 1
Material: GaS2IN
Method: DFT, PBE
State: relaxed

Cell: 5.058 5.058 3.688 Å, 90.00 90.00 90.00°
Space group P4/mmm (No. 123)
Symmetry-distinct sites (fractional):
1 Ga 0.000 0.000 0.000
2 S 0.000 0.500 0.000
3 I 0.500 0.500 0.500
4 N 0.000 0.000 0.500

Computed properties:
As for the relative energy among the computed polymorphs: 0 meV/atom. Its calculated volume is 94.3 Å³/f.u. Its density of states at the Fermi level is 4.18 states/eV per cell. For the calculated density, the calculation gives 4.836 Mg/m³. The calculation puts the uncorrected formation energy at 4.5 eV per formula unit.

***

Record 2
Material: GaSIN2
Method: DFT, PBE
State: relaxed

Cell: 3.984 3.984 5.637 Å, 90.00 90.00 90.00°
Space group P4/mmm (No. 123)
Symmetry-distinct sites (fractional):
1 Ga 0.000 0.000 0.000
2 S 0.500 0.500 0.000
3 I 0.500 0.500 0.500
4 N 0.000 0.500 0.500

Computed properties:
As for the relative energy among the computed polymorphs: 316 meV/atom. Its calculated volume is 89.5 Å³/f.u. Its density of states at the Fermi level is 3.07 states/eV per cell. For the calculated density, the calculation gives 4.764 Mg/m³. The calculation puts the uncorrected formation energy at 8.2 eV per formula unit.

***

Record 3
Material: GaSIN2
Method: DFT, PBE
State: relaxed

Cell: 3.800 3.800 6.980 Å, 90.00 90.00 90.00°
Space group P4/mmm (No. 123)
Symmetry-distinct sites (fractional):
1 Ga 0.000 0.000 0.000
2 S 0.500 0.500 0.500
3 I 0.500 0.500 0.000
4 N 0.000 0.500 0.500

Computed properties:
As for the relative energy among the computed polymorphs: 255 meV/atom. Its calculated volume is 100.8 Å³/f.u. Its density of states at the Fermi level is 2.91 states/eV per cell. For the calculated density, the calculation gives 4.229 Mg/m³. The calculation puts the uncorrected formation energy at 7.9 eV per formula unit.